--- one ---
This record from Alexandria via LeMat-Bulk describes an optimized crystal structure of BeAgRh3. The functional is PBE.

The magnetic moment is 2.39 μB per cell. The value obtained for the volume is 21.98 A^3/atom.

The space group is Pm-3m (No. 221) and the conventional cell measures 4.7901, 4.7901 and 4.7901 Å, with angles of 90.00, 90.00 and 90.00 degrees. Symmetry generates all atoms from Be at (0.0000, 0.0000, 0.0000), Ag at (0.5000, 0.5000, 0.5000) and Rh at (0.0000, 0.5000, 0.5000).

--- two ---
This record from Alexandria via LeMat-Bulk describes an optimized crystal structure of BeAgRh3. The functional is PBE.

The magnetic moment is 0.00 μB per cell. The value obtained for the volume is 14.48 A^3/atom.

The space group is Pm-3m (No. 221) and the conventional cell measures 4.1677, 4.1677 and 4.1677 Å, with angles of 90.00, 90.00 and 90.00 degrees. Symmetry generates all atoms from Be at (0.0000, 0.0000, 0.0000), Ag at (0.5000, 0.5000, 0.5000) and Rh at (0.0000, 0.0000, 0.5000).

Best to worst by energy: two, one.

--- one ---
This record from Alexandria via LeMat-Bulk describes an optimized crystal structure of BeAg3Rh. The functional is PBE.

The magnetic moment is 0.56 μB per cell. The value obtained for the volume is 25.31 A^3/atom.

The space group is Pm-3m (No. 221) and the conventional cell measures 5.0203, 5.0203 and 5.0203 Å, with angles of 90.00, 90.00 and 90.00 degrees. Symmetry generates all atoms from Be at (0.0000, 0.0000, 0.0000), Ag at (0.0000, 0.5000, 0.5000) and Rh at (0.5000, 0.5000, 0.5000).

--- two ---
This record from Alexandria via LeMat-Bulk describes an optimized crystal structure of BeAg3Rh. The functional is PBE.

The magnetic moment is 0.00 μB per cell. The value obtained for the volume is 16.39 A^3/atom.

The space group is Pm-3m (No. 221) and the conventional cell measures 4.3439, 4.3439 and 4.3439 Å, with angles of 90.00, 90.00 and 90.00 degrees. Symmetry generates all atoms from Be at (0.0000, 0.0000, 0.0000), Ag at (0.0000, 0.0000, 0.5000) and Rh at (0.5000, 0.5000, 0.5000).

Best to worst by energy: two, one.

--- one ---
This record from Alexandria via LeMat-Bulk describes an optimized crystal structure of Be2AgRh2. The functional is PBE.

The magnetic moment is 0.00 μB per cell. The value obtained for the volume is 13.54 A^3/atom.

The space group is I4/mmm (No. 139) and the conventional cell measures 4.0177, 4.0177 and 8.3861 Å, with angles of 90.00, 90.00 and 90.00 degrees. Symmetry generates all atoms from Be at (0.0000, 0.5000, 0.2500), Ag at (0.0000, 0.0000, 0.0000) and Rh at (0.0000, 0.0000, 0.3506).

--- two ---
This record from Alexandria via LeMat-Bulk describes an optimized crystal structure of Be2AgRh2. The functional is PBE.

The magnetic moment is 0.00 μB per cell. The value obtained for the volume is 12.13 A^3/atom.

The space group is P4/mbm (No. 127) and the conventional cell measures 6.4116, 6.4116 and 2.9507 Å, with angles of 90.00, 90.00 and 90.00 degrees. Symmetry generates all atoms from Be at (0.1271, 0.3729, 0.0000), Ag at (0.0000, 0.0000, 0.0000) and Rh at (0.1605, 0.6605, 0.5000).

Best to worst by energy: two, one.

--- one ---
This record from Alexandria via LeMat-Bulk describes an optimized crystal structure of BeAgRh. The functional is PBE.

The magnetic moment is 0.00 μB per cell. The value obtained for the volume is 13.33 A^3/atom.

The space group is I4mm (No. 107) and the conventional cell measures 2.8355, 2.8355 and 9.9438 Å, with angles of 90.00, 90.00 and 90.00 degrees. Symmetry generates all atoms from Be at (0.0000, 0.0000, 0.0000), Ag at (0.0000, 0.0000, 0.3254) and Rh at (0.0000, 0.0000, 0.6140).

--- two ---
This record from Alexandria via LeMat-Bulk describes an optimized crystal structure of BeAgRh. The functional is PBE.

The magnetic moment is 0.00 μB per cell. The value obtained for the volume is 14.16 A^3/atom.

The space group is F-43m (No. 216) and the conventional cell measures 5.5389, 5.5389 and 5.5389 Å, with angles of 90.00, 90.00 and 90.00 degrees. Symmetry generates all atoms from Be at (0.0000, 0.0000, 0.0000), Ag at (0.2500, 0.2500, 0.7500) and Rh at (0.2500, 0.2500, 0.2500).

--- three ---
This record from Alexandria via LeMat-Bulk describes an optimized crystal structure of BeAgRh. The functional is PBE.

The magnetic moment is 0.00 μB per cell. The value obtained for the volume is 13.61 A^3/atom.

The space group is P3m1 (No. 156) and the conventional cell measures 2.7907, 2.7907 and 6.0526 Å, with angles of 90.00, 90.00 and 120.00 degrees. Symmetry generates all atoms from Be at (0.0000, 0.0000, 0.0000), Ag at (0.3333, 0.6667, 0.6684) and Rh at (0.6667, 0.3333, 0.2651).

Best to worst by energy: one, three, two.

--- one ---
This record from Alexandria via LeMat-Bulk describes an optimized crystal structure of BeAg3Ru. The functional is PBE.

The magnetic moment is 1.36 μB per cell. The value obtained for the volume is 16.43 A^3/atom.

The space group is Pm-3m (No. 221) and the conventional cell measures 4.3467, 4.3467 and 4.3467 Å, with angles of 90.00, 90.00 and 90.00 degrees. Symmetry generates all atoms from Be at (0.0000, 0.0000, 0.0000), Ag at (0.0000, 0.0000, 0.5000) and Ru at (0.5000, 0.5000, 0.5000).

--- two ---
This record from Alexandria via LeMat-Bulk describes an optimized crystal structure of BeAg3Ru. The functional is PBE.

The magnetic moment is 2.20 μB per cell. The value obtained for the volume is 25.86 A^3/atom.

The space group is Pm-3m (No. 221) and the conventional cell measures 5.0567, 5.0567 and 5.0567 Å, with angles of 90.00, 90.00 and 90.00 degrees. Symmetry generates all atoms from Be at (0.0000, 0.0000, 0.0000), Ag at (0.0000, 0.5000, 0.5000) and Ru at (0.5000, 0.5000, 0.5000).

Best to worst by energy: one, two.

--- one ---
This record from Alexandria via LeMat-Bulk describes an optimized crystal structure of Be2AgRu2. The functional is PBE.

The magnetic moment is 1.37 μB per cell. The value obtained for the volume is 12.99 A^3/atom.

The space group is P4/mbm (No. 127) and the conventional cell measures 6.9745, 6.9745 and 2.6708 Å, with angles of 90.00, 90.00 and 90.00 degrees. Symmetry generates all atoms from Be at (0.1682, 0.3318, 0.0000), Ag at (0.0000, 0.0000, 0.5000) and Ru at (0.1257, 0.6257, 0.5000).

--- two ---
This record from Alexandria via LeMat-Bulk describes an optimized crystal structure of Be2AgRu2. The functional is PBE.

The magnetic moment is 0.00 μB per cell. The value obtained for the volume is 12.01 A^3/atom.

The space group is P4/mbm (No. 127) and the conventional cell measures 6.1921, 6.1921 and 3.1312 Å, with angles of 90.00, 90.00 and 90.00 degrees. Symmetry generates all atoms from Be at (0.1226, 0.3774, 0.0000), Ag at (0.0000, 0.0000, 0.0000) and Ru at (0.1670, 0.6670, 0.5000).

Best to worst by energy: two, one.

--- one ---
This record from Alexandria via LeMat-Bulk describes an optimized crystal structure of Be3AgS. The functional is PBE.

The magnetic moment is 0.00 μB per cell. The value obtained for the volume is 13.62 A^3/atom.

The space group is Pm-3m (No. 221) and the conventional cell measures 4.0835, 4.0835 and 4.0835 Å, with angles of 90.00, 90.00 and 90.00 degrees. Symmetry generates all atoms from Be at (0.0000, 0.0000, 0.5000), Ag at (0.5000, 0.5000, 0.5000) and S at (0.0000, 0.0000, 0.0000).

--- two ---
This record from Alexandria via LeMat-Bulk describes an optimized crystal structure of Be3AgS. The functional is PBE.

The magnetic moment is 0.00 μB per cell. The value obtained for the volume is 16.61 A^3/atom.

The space group is Pm-3m (No. 221) and the conventional cell measures 4.3631, 4.3631 and 4.3631 Å, with angles of 90.00, 90.00 and 90.00 degrees. Symmetry generates all atoms from Be at (0.0000, 0.0000, 0.5000), Ag at (0.0000, 0.0000, 0.0000) and S at (0.5000, 0.5000, 0.5000).

Best to worst by energy: one, two.

--- one ---
This record from Alexandria via LeMat-Bulk describes an optimized crystal structure of BeAgSb3. The functional is PBE.

The magnetic moment is 0.00 μB per cell. The value obtained for the volume is 24.08 A^3/atom.

The space group is Pm-3m (No. 221) and the conventional cell measures 4.9379, 4.9379 and 4.9379 Å, with angles of 90.00, 90.00 and 90.00 degrees. Symmetry generates all atoms from Be at (0.0000, 0.0000, 0.0000), Ag at (0.5000, 0.5000, 0.5000) and Sb at (0.0000, 0.0000, 0.5000).

--- two ---
This record from Alexandria via LeMat-Bulk describes an optimized crystal structure of BeAgSb3. The functional is PBE.

The magnetic moment is 0.00 μB per cell. The value obtained for the volume is 30.51 A^3/atom.

The space group is Pm-3m (No. 221) and the conventional cell measures 5.3433, 5.3433 and 5.3433 Å, with angles of 90.00, 90.00 and 90.00 degrees. Symmetry generates all atoms from Be at (0.0000, 0.0000, 0.0000), Ag at (0.5000, 0.5000, 0.5000) and Sb at (0.0000, 0.5000, 0.5000).

Best to worst by energy: one, two.